Crystalline Er2TmS3 at its relaxed geometry. Source: Alexandria via LeMat-Bulk, functional PBE.

The space group is Immm (No. 71) and the conventional cell measures 3.8689, 5.4415 and 11.5499 Å, with angles of 90.00, 90.00 and 90.00 degrees. Symmetry generates all atoms from Er at (0.0000, 0.0000, 0.1674), Tm at (0.0000, 0.0000, 0.5000), S at (0.0000, 0.5000, 0.1654) and S at (0.0000, 0.5000, 0.5000).

Its theoretical density is 8.2 g/cm³. The calculation puts the total DFT energy (no corrections) at -75.3 eV/cell. The uncorrected formation energy is -1.9438 eV per atom.

Crystalline Er3Tm2S4 at its relaxed geometry. Source: Alexandria via LeMat-Bulk, functional PBE.

The space group is P-3m1 (No. 164) and the conventional cell measures 3.7991, 3.7991 and 15.7516 Å, with angles of 90.00, 90.00 and 120.00 degrees. Symmetry generates all atoms from Er at (0.0000, 0.0000, 0.0000), Er at (0.3333, 0.6667, 0.5888), Tm at (0.3333, 0.6667, 0.2053), S at (0.0000, 0.0000, 0.3046) and S at (0.3333, 0.6667, 0.8968).

Its theoretical density is 8.2 g/cm³. The calculation puts the total DFT energy (no corrections) at -54.6 eV/cell. The uncorrected formation energy is -1.7221 eV per atom.

Crystalline ErTmS at its relaxed geometry. Source: Alexandria via LeMat-Bulk, functional PBE.

The space group is C2/m (No. 12) and the conventional cell measures 13.9740, 3.7199 and 6.4505 Å, with angles of 90.00, 117.42 and 90.00 degrees. Symmetry generates all atoms from Er at (0.1160, 0.0000, 0.4495), Tm at (0.1164, 0.5000, 0.9499) and S at (0.2498, 0.0000, 0.2486).

Its theoretical density is 8.2 g/cm³. The calculation puts the total DFT energy (no corrections) at -67.9 eV/cell. The uncorrected formation energy is -1.2695 eV per atom.

Crystalline Er3TmS4 at its relaxed geometry. Source: Alexandria via LeMat-Bulk, functional PBE.

The space group is Pm-3m (No. 221) and the conventional cell measures 5.4569, 5.4569 and 5.4569 Å, with angles of 90.00, 90.00 and 90.00 degrees. Symmetry generates all atoms from Er at (0.0000, 0.0000, 0.5000), Tm at (0.5000, 0.5000, 0.5000), S at (0.0000, 0.0000, 0.0000) and S at (0.0000, 0.5000, 0.5000).

Its theoretical density is 8.2 g/cm³. The calculation puts the total DFT energy (no corrections) at -50.2 eV/cell. The uncorrected formation energy is -1.9357 eV per atom.

Crystalline Er3TmS6 at its relaxed geometry. Source: Alexandria via LeMat-Bulk, functional PBE.

The space group is R-3 (No. 148, hexagonal axes) and the conventional cell measures 11.3513, 11.3513 and 13.5064 Å, with angles of 90.00, 90.00 and 120.00 degrees. Symmetry generates all atoms from Er at (0.0500, 0.2705, 0.2026), Tm at (0.0000, 0.0000, 0.0000), Tm at (0.0000, 0.0000, 0.5000), S at (0.0203, 0.2127, 0.3977) and S at (0.0311, 0.1931, 0.8746).

Its theoretical density is 5.7 g/cm³. The calculation puts the total DFT energy (no corrections) at -381.2 eV/cell. The uncorrected formation energy is -2.0601 eV per atom.

Crystalline ErTmS at its relaxed geometry. Source: Alexandria via LeMat-Bulk, functional PBE.

The space group is P3m1 (No. 156) and the conventional cell measures 3.7214, 3.7214 and 6.2049 Å, with angles of 90.00, 90.00 and 120.00 degrees. Symmetry generates all atoms from Er at (0.0000, 0.0000, 0.0000), Tm at (0.6667, 0.3333, 0.4650) and S at (0.3333, 0.6667, 0.7310).

Its theoretical density is 8.2 g/cm³. The calculation puts the total DFT energy (no corrections) at -17.0 eV/cell. The uncorrected formation energy is -1.2661 eV per atom.

Crystalline Er2Tm2S3 at its relaxed geometry. Source: Alexandria via LeMat-Bulk, functional PBE.

The space group is C2/m (No. 12) and the conventional cell measures 12.6465, 3.7872 and 6.5988 Å, with angles of 90.00, 100.19 and 90.00 degrees. Symmetry generates all atoms from Er at (0.1227, 0.0000, 0.3804), Tm at (0.1257, 0.5000, 0.8728), S at (0.0000, 0.0000, 0.0000) and S at (0.2463, 0.5000, 0.2462).

Its theoretical density is 8.2 g/cm³. The calculation puts the total DFT energy (no corrections) at -84.2 eV/cell. The uncorrected formation energy is -1.6648 eV per atom.

Crystalline Er4TmS6 at its relaxed geometry. Source: Alexandria via LeMat-Bulk, functional PBE.

The space group is Cmcm (No. 63) and the conventional cell measures 3.7780, 12.7208 and 19.6356 Å, with angles of 90.00, 90.00 and 90.00 degrees. Symmetry generates all atoms from Er at (0.0000, 0.0912, 0.1278), Er at (0.0000, 0.3612, 0.0397), Tm at (0.0000, 0.1510, 0.7500), S at (0.0000, 0.0000, 0.0000), S at (0.0000, 0.1950, 0.2500), S at (0.0000, 0.2698, 0.5887) and S at (0.0000, 0.4485, 0.1675).

Its theoretical density is 7.3 g/cm³. The calculation puts the total DFT energy (no corrections) at -278.4 eV/cell. The uncorrected formation energy is -2.0108 eV per atom.